1.
5
Lattice="5.105 0.000 0.000 0.000 5.105 0.000 0.000 0.000 4.090" Properties=species:S:1:pos:R:3 comment="CaTiP2O GGA-PBE relaxed" magmom_total_mub_per_fu=0.40 pbc="T T T"
Ca 0.000 0.000 0.000
Ti 2.553 2.553 2.045
P 0.000 2.553 0.000
P 2.553 0.000 0.000
O 0.000 0.000 2.045

---

2.
5
Lattice="4.989 0.000 0.000 0.000 4.989 0.000 0.000 0.000 3.749" Properties=species:S:1:pos:R:3 comment="CaTiP2O GGA-PBE relaxed" magmom_total_mub_per_fu=0.00 pbc="T T T"
Ca 0.000 0.000 0.000
Ti 2.495 2.495 1.875
P 0.000 2.495 1.875
P 2.495 0.000 1.875
O 2.495 2.495 0.000

---

Relative energies, in eV/atom, with the most stable structure set to zero: 1 1.532; 2 0.000.

---

1.
5
Lattice="3.938 0.000 0.000 0.000 3.938 0.000 0.000 0.000 4.958" Properties=species:S:1:pos:R:3 comment="CaTiPO2 GGA-PBE relaxed" magmom_total_mub_per_fu=0.00 pbc="T T T"
Ca 0.000 0.000 0.000
Ti 1.969 1.969 2.479
P 1.969 1.969 0.000
O 0.000 1.969 2.479
O 1.969 0.000 2.479

---

2.
5
Lattice="4.101 0.000 0.000 0.000 4.101 0.000 0.000 0.000 5.561" Properties=species:S:1:pos:R:3 comment="CaTiPO2 GGA-PBE relaxed" magmom_total_mub_per_fu=0.96 pbc="T T T"
Ca 0.000 0.000 0.000
Ti 2.051 2.051 2.780
P 0.000 0.000 2.780
O 0.000 2.051 0.000
O 2.051 0.000 0.000

---

Relative energies, in eV/atom, with the most stable structure set to zero: 1 0.000; 2 1.601.

---

1.
22
Lattice="6.598 0.000 0.000 0.985 6.580 0.000 1.002 2.396 6.143" Properties=species:S:1:pos:R:3 comment="CaTiP2O7 GGA-PBE relaxed" magmom_total_mub_per_fu=2.02 pbc="T T T"
Ca 0.987 2.077 1.470
Ca 7.597 6.898 4.672
Ti 3.614 4.413 4.278
Ti 4.971 4.562 1.865
P 1.748 5.315 1.565
P 4.295 7.675 5.175
P 4.290 1.301 0.968
P 6.837 3.661 4.577
O 1.378 6.529 2.397
O 1.448 4.518 5.035
O 2.390 5.969 0.246
O 3.373 6.569 4.640
O 2.798 4.382 2.218
O 3.030 1.876 0.288
O 3.591 2.243 4.243
O 4.994 6.732 1.900
O 5.554 7.100 5.855
O 5.786 4.594 3.925
O 5.211 2.406 1.502
O 6.194 3.006 5.897
O 7.137 4.458 1.108
O 7.206 2.447 3.746

---

2.
22
Lattice="5.980 0.000 0.000 2.641 6.100 0.000 0.589 0.585 7.474" Properties=species:S:1:pos:R:3 comment="CaTiP2O7 GGA-PBE relaxed" magmom_total_mub_per_fu=2.03 pbc="T T T"
Ca 2.285 2.159 2.435
Ca 6.925 4.526 5.039
Ti 3.906 6.045 6.436
Ti 5.303 0.640 1.038
P 3.910 5.019 3.113
P 3.428 2.659 6.524
P 5.781 4.025 0.950
P 5.299 1.665 4.361
O 2.677 4.211 3.488
O 0.971 0.180 2.269
O 2.916 4.113 6.516
O 2.368 1.662 6.091
O 4.840 5.360 4.277
O 3.522 1.684 0.378
O 4.631 3.994 2.087
O 4.578 2.691 5.387
O 5.687 5.000 7.096
O 4.370 1.324 3.197
O 6.841 5.022 1.383
O 6.293 2.571 0.958
O 8.238 6.505 5.205
O 6.532 2.473 3.986

---

Relative energies, in eV/atom, with the most stable structure set to zero: 1 0.000; 2 0.017.

---

1.
5
Lattice="5.208 0.000 0.000 0.000 5.208 0.000 0.000 0.000 4.311" Properties=species:S:1:pos:R:3 comment="CaTlP2O GGA-PBE relaxed" magmom_total_mub_per_fu=1.69 pbc="T T T"
Ca 0.000 0.000 0.000
Tl 2.604 2.604 2.156
P 0.000 2.604 2.156
P 2.604 0.000 2.156
O 2.604 2.604 0.000

---

2.
5
Lattice="5.453 0.000 0.000 0.000 5.453 0.000 0.000 0.000 4.280" Properties=species:S:1:pos:R:3 comment="CaTlP2O GGA-PBE relaxed" magmom_total_mub_per_fu=1.58 pbc="T T T"
Ca 0.000 0.000 0.000
Tl 2.726 2.726 2.140
P 0.000 2.726 0.000
P 2.726 0.000 0.000
O 0.000 0.000 2.140

---

Relative energies, in eV/atom, with the most stable structure set to zero: 1 0.000; 2 0.071.